1.
5
Lattice="-2.3003 -3.3357 -4.5416 5.6320 -1.5209 -1.7355 -0.1837 -4.8584 3.6615" Properties=species:S:1:pos:R:3 comment="KTe3Br PBE-GGA relaxed" raw_formation_energy_ev_per_atom=0.845 relative_energy_mev_per_atom=718 sg="No. 221" dos_at_fermi_per_ev_cell=6.8 pbc="T T T"
K 0.0000 0.0000 0.0000
Te -0.0919 -2.4292 1.8307
Te -1.1501 -1.6679 -2.2708
Te 2.8160 -0.7604 -0.8677
Br 1.5740 -4.8575 -1.3078

2.
4
Lattice="-1.7380 -2.9759 -0.0943 0.2087 -0.2267 3.4337 -7.8088 4.5361 0.7740" Properties=species:S:1:pos:R:3 comment="La2ZrRe PBE-GGA relaxed" relative_energy_mev_per_atom=0 sg="No. 99" delta_e_f_mev_per_atom=107 dos_at_fermi_per_ev_cell=5.7 pbc="T T T"
Zr -6.1222 1.5109 2.2008
La -3.2362 -0.1656 1.9147
La -7.5493 4.3854 0.7483
Re -4.1436 2.4070 0.4107

3.
6
Lattice="3.9663 0.4951 -0.1673 2.4750 4.0377 0.3780 -0.6958 1.3463 8.9291" Properties=species:S:1:pos:R:3 comment="CeFeAs PBE-GGA relaxed" sg="No. 2" delta_e_f_mev_per_atom=-347 dos_at_fermi_per_ev_cell=8.0 pbc="T T T"
Fe 5.8697 5.2664 5.5133
Fe 3.1866 2.8307 7.4958
Ce 2.1031 2.0459 3.6178
Ce 3.6825 4.2099 0.6295
As 5.0956 4.5315 7.6797
As 3.9605 3.5656 5.3292

4.
5
Lattice="-3.5756 1.8545 -3.4360 -3.5816 0.2972 3.8876 1.6445 5.2361 1.1148" Properties=species:S:1:pos:R:3 comment="SrLi2CaAu PBE-GGA relaxed" relative_energy_mev_per_atom=0 sg="No. 123" delta_e_f_mev_per_atom=-189 dos_at_fermi_per_ev_cell=3.6 pbc="T T T"
Sr -2.7563 3.6939 0.7832
Ca 0.8223 2.6181 0.5574
Li -1.7908 0.1486 1.9438
Li -1.7878 0.9272 -1.7180
Au 0.0000 0.0000 0.0000

| no. | total magnetic moment (μB per cell) |
| --- | --- |
| 1 | 0.0 |
| 2 | 0.0 |
| 3 | 0.2 |
| 4 | 0.0 |